(1)
! RuOF2, optimized geometry, DFT PBE; values from VASP
! - DOS(E_F) (states/eV/atom) = 1.0472
! - raw formation energy (eV per atom) = 0.31
! - volume (Å³/cell) = 51
! - excess energy over the best structure of this formula in the dataset (eV/atom) = 1.6908
! - size of the total moment (Bohr magnetons per cell) = 1.747
&SYSTEM
  ibrav = 0, nat = 4, ntyp = 3
/
ATOMIC_SPECIES
Ru 101.07 Ru.upf
F 19.00 F.upf
O 16.00 O.upf
CELL_PARAMETERS angstrom
1.5840 0.0000 7.8555
-0.7920 1.3718 7.8555
-0.7920 -1.3718 7.8555
ATOMIC_POSITIONS angstrom
Ru 0.0000 0.0000 11.7833
F 0.0000 0.0000 21.2182
F 0.0000 0.0000 2.3483
O 0.0000 0.0000 0.0000

***

(2)
! SbRuOF2, optimized geometry, DFT PBE; values from VASP
! - DOS(E_F) (states/eV/atom) = 0.7040
! - raw formation energy (eV per atom) = -0.65
! - volume (Å³/cell) = 75
! - excess energy over the best structure of this formula in the dataset (eV/atom) = 0.0000
! - size of the total moment (Bohr magnetons per cell) = 0.000
&SYSTEM
  ibrav = 0, nat = 5, ntyp = 4
/
ATOMIC_SPECIES
Sb 121.76 Sb.upf
Ru 101.07 Ru.upf
F 19.00 F.upf
O 16.00 O.upf
CELL_PARAMETERS angstrom
4.5080 0.0000 0.0000
0.0000 3.6940 0.0000
0.0000 0.0000 4.5080
ATOMIC_POSITIONS angstrom
Sb 2.2540 1.8470 2.2540
Ru 0.0000 0.0000 0.0000
F 0.0000 0.0000 2.2540
O 0.0000 1.8470 0.0000
F 2.2540 0.0000 0.0000

***

(3)
! SbRuOF2, optimized geometry, DFT PBE; values from VASP
! - DOS(E_F) (states/eV/atom) = 0.2049
! - raw formation energy (eV per atom) = -0.42
! - volume (Å³/cell) = 86
! - excess energy over the best structure of this formula in the dataset (eV/atom) = 0.2303
! - size of the total moment (Bohr magnetons per cell) = 2.942
&SYSTEM
  ibrav = 0, nat = 5, ntyp = 4
/
ATOMIC_SPECIES
Sb 121.76 Sb.upf
F 19.00 F.upf
O 16.00 O.upf
Ru 101.07 Ru.upf
CELL_PARAMETERS angstrom
4.4850 0.0000 0.0000
0.0000 4.4850 0.0000
0.0000 0.0000 4.2578
ATOMIC_POSITIONS angstrom
Sb 0.0000 0.0000 0.0000
F 2.2425 0.0000 0.0000
O 0.0000 0.0000 2.1289
Ru 2.2425 2.2425 2.1289
F 0.0000 2.2425 0.0000

***

Number 1: theoretical density 5.03 g cm⁻³, total DFT energy (no corrections) -0.30742 Ry per atom. Number 2: theoretical density 6.12 g cm⁻³, total DFT energy (no corrections) -0.37272 Ry per atom. Number 3: theoretical density 5.37 g cm⁻³, total DFT energy (no corrections) -0.35579 Ry per atom.